# 1
Density functional theory data (PBE-GGA) for an optimized crystal structure of TmAs2.

Unit cell a=3.8543 b=3.8543 c=9.1323 alpha=102.18 beta=102.18 gamma=90.00
Fractional positions:
Tm: 0.1365 0.1365 0.2729
Tm: 0.8635 0.8635 0.7271
As: 0.6927 0.6927 0.3853
As: 0.3073 0.3073 0.6147
As: 0.5000 0.0000 0.0000
As: 0.0000 0.5000 0.0000

- Formation energy: -0.7846 eV per atom
- Mass density: 8.2 Mg/m³

=====

# 2
Density functional theory data (PBE-GGA) for an optimized crystal structure of BaTeF3.

Unit cell a=4.8840 b=4.8840 c=4.8840 alpha=90.00 beta=90.00 gamma=90.00
Fractional positions:
Te: 0.0000 0.0000 0.0000
Ba: 0.5000 0.5000 0.5000
F: 0.0000 0.5000 0.0000
F: 0.0000 0.0000 0.5000
F: 0.5000 0.0000 0.0000

- ΔE_f (raw): -1.89 eV/atom
- Mass density: 4.6 Mg/m³
- Distance to the lowest polymorph of the same formula: 0.228 eV per atom

=====

# 3
Density functional theory data (PBE-GGA) for an optimized crystal structure of CaLa2PdN.

Unit cell a=5.0602 b=5.0602 c=4.7573 alpha=90.00 beta=90.00 gamma=90.00
Fractional positions:
Ca: 0.0000 0.0000 0.5000
N: 0.0000 0.0000 0.0000
Pd: 0.5000 0.5000 0.5000
La: 0.0000 0.5000 0.0000
La: 0.5000 0.0000 0.0000

- ΔE_f (raw): -0.73 eV/atom
- Mass density: 6.0 Mg/m³